Record 1
Here is a geometry-optimized AcGaSnAu structure from Alexandria. Energies are from PBE.

CIF file:
```
data_AcGaSnAu
_chemical_formula_sum 'Ac4 Ga4 Sn4 Au4'
_space_group_name_H-M_alt 'F -4 3 m'
_space_group_IT_number 216
_space_group_name_Hall 'F -4 2 3'
_cell_length_a 7.438
_cell_length_b 7.438
_cell_length_c 7.438
_cell_angle_alpha 90.00
_cell_angle_beta 90.00
_cell_angle_gamma 90.00
loop_
_atom_site_label
_atom_site_fract_x
_atom_site_fract_y
_atom_site_fract_z
Ac1 0.000 0.000 0.000
Ga1 0.250 0.250 0.250
Sn1 0.000 0.000 0.500
Au1 0.250 0.250 0.750
```

As for the formation enthalpy at 0 K: -0.501 eV per atom. The calculation puts the volume at 411.5 Å³ per cell. The total magnetization comes out at 0.000 μB/cell. The energy comes out at -4.105 eV/atom. Its density of states at the Fermi level is 0.81 states/eV per atom.

---

Record 2
Here is a geometry-optimized Ac3GaSn2Au6 structure from Alexandria. Energies are from PBE.

CIF file:
```
data_Ac3GaSn2Au6
_chemical_formula_sum 'Ac3 Ga1 Sn2 Au6'
_space_group_name_H-M_alt 'P -3 m 1'
_space_group_IT_number 164
_space_group_name_Hall '-P 3 2"'
_cell_length_a 6.4835
_cell_length_b 6.4835
_cell_length_c 8.7629
_cell_angle_alpha 90.00
_cell_angle_beta 90.00
_cell_angle_gamma 120.00
loop_
_atom_site_label
_atom_site_fract_x
_atom_site_fract_y
_atom_site_fract_z
Ac1 0.0000 0.0000 0.0000
Ac2 0.3333 0.6667 0.6371
Ga1 0.0000 0.0000 0.5000
Sn1 0.3333 0.6667 0.0509
Au1 0.1742 0.3483 0.2986
```

As for the formation enthalpy at 0 K: -0.595 eV per atom. The calculation puts the volume at 319.0 Å³ per cell. The total magnetization comes out at 0.000 μB/cell. The energy comes out at -4.180 eV/atom. Its density of states at the Fermi level is 0.45 states/eV per atom.

---

Record 3
Here is a geometry-optimized Ac2TbGa3Au4 structure from Alexandria. Energies are from PBE.

CIF file:
```
data_Ac2TbGa3Au4
_chemical_formula_sum 'Ac2 Tb1 Ga3 Au4'
_space_group_name_H-M_alt 'P -4 m 2'
_space_group_IT_number 115
_cell_length_a 4.549
_cell_length_b 4.549
_cell_length_c 11.605
_cell_angle_alpha 90.00
_cell_angle_beta 90.00
_cell_angle_gamma 90.00
loop_
_space_group_symop_operation_xyz
'x,y,z'
'y,-x,-z'
'-x,-y,z'
'-y,x,-z'
'-x,y,z'
'-y,-x,-z'
'x,-y,z'
'y,x,-z'
loop_
_atom_site_label
_atom_site_fract_x
_atom_site_fract_y
_atom_site_fract_z
Ac1 0.000 0.500 0.224
Tb1 0.000 0.000 0.500
Ga1 0.000 0.500 0.880
Ga2 0.500 0.500 0.500
Au1 0.000 0.000 0.000
Au2 0.000 0.500 0.656
Au3 0.500 0.500 0.000
```

As for the formation enthalpy at 0 K: -0.695 eV per atom. The calculation puts the volume at 240.1 Å³ per cell. The total magnetization comes out at 0.000 μB/cell. The energy comes out at -4.199 eV/atom. Its density of states at the Fermi level is 0.66 states/eV per atom.

---

Record 4
Here is a geometry-optimized AcThGaAu structure from Alexandria. Energies are from PBE.

CIF file:
```
data_AcThGaAu
_chemical_formula_sum 'Ac4 Th4 Ga4 Au4'
_space_group_name_H-M_alt 'F -4 3 m'
_space_group_IT_number 216
_space_group_name_Hall 'F -4 2 3'
_cell_length_a 7.632
_cell_length_b 7.632
_cell_length_c 7.632
_cell_angle_alpha 90.00
_cell_angle_beta 90.00
_cell_angle_gamma 90.00
loop_
_atom_site_label
_atom_site_fract_x
_atom_site_fract_y
_atom_site_fract_z
Ac1 0.000 0.000 0.000
Th1 0.000 0.000 0.500
Ga1 0.250 0.250 0.250
Au1 0.250 0.250 0.750
```

As for the formation enthalpy at 0 K: -0.442 eV per atom. The calculation puts the volume at 444.5 Å³ per cell. The total magnetization comes out at 2.456 μB/cell. The energy comes out at -4.900 eV/atom. Its density of states at the Fermi level is 1.18 states/eV per atom.

---

Record 5
Here is a geometry-optimized Ac2TiGa4Au3 structure from Alexandria. Energies are from PBE.

CIF file:
```
data_Ac2TiGa4Au3
_chemical_formula_sum 'Ac2 Ti1 Ga4 Au3'
_space_group_name_H-M_alt 'P -4 m 2'
_space_group_IT_number 115
_cell_length_a 4.428
_cell_length_b 4.428
_cell_length_c 11.354
_cell_angle_alpha 90.00
_cell_angle_beta 90.00
_cell_angle_gamma 90.00
loop_
_space_group_symop_operation_xyz
'x,y,z'
'y,-x,-z'
'-x,-y,z'
'-y,x,-z'
'-x,y,z'
'-y,-x,-z'
'x,-y,z'
'y,x,-z'
loop_
_atom_site_label
_atom_site_fract_x
_atom_site_fract_y
_atom_site_fract_z
Ac1 0.000 0.500 0.249
Ti1 0.000 0.000 0.500
Ga1 0.000 0.000 0.000
Ga2 0.000 0.500 0.634
Ga3 0.500 0.500 0.000
Au1 0.000 0.500 0.868
Au2 0.500 0.500 0.500
```

As for the formation enthalpy at 0 K: -0.610 eV per atom. The calculation puts the volume at 222.6 Å³ per cell. The total magnetization comes out at 0.000 μB/cell. The energy comes out at -4.415 eV/atom. Its density of states at the Fermi level is 0.61 states/eV per atom.

---

Record 6
Here is a geometry-optimized Ac2TmGa4Au3 structure from Alexandria. Energies are from PBE.

CIF file:
```
data_Ac2TmGa4Au3
_chemical_formula_sum 'Ac2 Tm1 Ga4 Au3'
_space_group_name_H-M_alt 'P -4 m 2'
_space_group_IT_number 115
_cell_length_a 4.472
_cell_length_b 4.472
_cell_length_c 11.784
_cell_angle_alpha 90.00
_cell_angle_beta 90.00
_cell_angle_gamma 90.00
loop_
_space_group_symop_operation_xyz
'x,y,z'
'y,-x,-z'
'-x,-y,z'
'-y,x,-z'
'-x,y,z'
'-y,-x,-z'
'x,-y,z'
'y,x,-z'
loop_
_atom_site_label
_atom_site_fract_x
_atom_site_fract_y
_atom_site_fract_z
Ac1 0.000 0.500 0.236
Tm1 0.000 0.000 0.500
Ga1 0.000 0.000 0.000
Ga2 0.000 0.500 0.655
Ga3 0.500 0.500 0.000
Au1 0.000 0.500 0.876
Au2 0.500 0.500 0.500
```

As for the formation enthalpy at 0 K: -0.655 eV per atom. The calculation puts the volume at 235.7 Å³ per cell. The total magnetization comes out at 0.000 μB/cell. The energy comes out at -4.118 eV/atom. Its density of states at the Fermi level is 0.61 states/eV per atom.

---

Record 7
Here is a geometry-optimized AcTmGaAu structure from Alexandria. Energies are from PBE.

CIF file:
```
data_AcTmGaAu
_chemical_formula_sum 'Ac4 Tm4 Ga4 Au4'
_space_group_name_H-M_alt 'F -4 3 m'
_space_group_IT_number 216
_space_group_name_Hall 'F -4 2 3'
_cell_length_a 7.529
_cell_length_b 7.529
_cell_length_c 7.529
_cell_angle_alpha 90.00
_cell_angle_beta 90.00
_cell_angle_gamma 90.00
loop_
_atom_site_label
_atom_site_fract_x
_atom_site_fract_y
_atom_site_fract_z
Ac1 0.000 0.000 0.000
Tm1 0.000 0.000 0.500
Ga1 0.250 0.250 0.750
Au1 0.250 0.250 0.250
```

As for the formation enthalpy at 0 K: -0.584 eV per atom. The calculation puts the volume at 426.8 Å³ per cell. The total magnetization comes out at 0.000 μB/cell. The energy comes out at -4.305 eV/atom. Its density of states at the Fermi level is 0.63 states/eV per atom.

---

Record 8
Here is a geometry-optimized AcTmGa2Au4 structure from Alexandria. Energies are from PBE.

CIF file:
```
data_AcTmGa2Au4
_chemical_formula_sum 'Ac3 Tm3 Ga6 Au12'
_space_group_name_H-M_alt 'R -3 m'
_space_group_IT_number 166
_space_group_name_Hall '-R 3 2"'
_cell_length_a 4.6834
_cell_length_b 4.6834
_cell_length_c 28.1271
_cell_angle_alpha 90.00
_cell_angle_beta 90.00
_cell_angle_gamma 120.00
loop_
_atom_site_label
_atom_site_fract_x
_atom_site_fract_y
_atom_site_fract_z
Ac1 0.0000 0.0000 0.0000
Tm1 0.0000 0.0000 0.5000
Ga1 0.0000 0.0000 0.2357
Au1 0.0000 0.0000 0.1223
Au2 0.0000 0.0000 0.3953
```

As for the formation enthalpy at 0 K: -0.647 eV per atom. The calculation puts the volume at 534.3 Å³ per cell. The total magnetization comes out at 0.000 μB/cell. The energy comes out at -4.114 eV/atom. Its density of states at the Fermi level is 0.67 states/eV per atom.